Record 1
Material: Eu2ErTh
Method: DFT, GGA-PBE
State: relaxed

Unit cell a=13.1384 b=13.1384 c=13.1384 alpha=15.45 beta=15.45 gamma=15.45
Closest atoms and distances in Å follow each position.
Positions (direct):
Eu  0.0888  0.0888  0.0888  1 Th 3.46, 6 Eu 3.53, 3 Er 3.65
Eu  0.9112  0.9112  0.9112  1 Th 3.46, 6 Eu 3.53, 3 Er 3.65
Er  0.5000  0.5000  0.5000  6 Er 3.53, 6 Eu 3.65
Th  0.0000  0.0000  0.0000  2 Eu 3.46, 6 Th 3.53

## Properties
The calculation puts the volume at 140.30 Å³ per cell. The spin magnetization comes out at 15.24 μB per cell. The energy relative to the elements comes out at 262 meV/atom. The space group is R-3m.

Record 2
Material: EuErTh2
Method: DFT, GGA-PBE
State: relaxed

Unit cell a=5.0641 b=5.0641 c=5.1017 alpha=90.00 beta=90.00 gamma=90.00
Closest atoms and distances in Å follow each position.
Positions (direct):
Eu  0.0000  0.0000  0.0000  4 Er 3.58, 8 Th 3.59
Er  0.5000  0.5000  0.0000  4 Eu 3.58, 8 Th 3.59
Th  0.0000  0.5000  0.5000  4 Th 3.58, 4 Er 3.59, 4 Eu 3.59
Th  0.5000  0.0000  0.5000  4 Th 3.58, 4 Er 3.59, 4 Eu 3.59

## Properties
As for the energy above the lowest structure with this stoichiometry: 0 meV/atom. The calculation puts the volume at 130.83 Å³ per cell. The spin magnetization comes out at 7.23 μB per cell. The energy relative to the elements comes out at 148 meV/atom. The space group is P4/mmm.